Entry 1:
Material: ZrHgIr2
Method: DFT, GGA-PBEsol
State: relaxed

Unit cell a=6.4578 b=6.4578 c=6.4578 alpha=90.00 beta=90.00 gamma=90.00
With the nearest neighbours (Å) after each atom.
Space group Fm-3m (No. 225)
Unique sites:
Zr1 0.0000 0.0000 0.0000  8 Ir 2.80
Hg1 0.0000 0.0000 0.5000  8 Ir 2.80
Ir1 0.2500 0.2500 0.2500  4 Hg 2.80, 4 Zr 2.80

crystal system	cubic
mass density	16.68	g/cm³
density of states at the Fermi level	2.57	states/eV/cell
formation enthalpy at 0 K	-316	meV per atom

Entry 2:
Material: LaTiSi3
Method: DFT, GGA-PBEsol
State: relaxed

Unit cell a=5.2122 b=5.2122 c=5.2122 alpha=90.00 beta=90.00 gamma=90.00
With the nearest neighbours (Å) after each atom.
Space group Pm-3m (No. 221)
Unique sites:
La1 0.0000 0.0000 0.0000  6 Si 2.61
Ti1 0.5000 0.5000 0.5000  12 Si 3.69
Si1 0.0000 0.0000 0.5000  2 La 2.61

crystal system	cubic
mass density	3.18	g/cm³
density of states at the Fermi level	7.60	states/eV/cell
raw formation energy	1.545	eV/atom

Entry 3:
Material: MnReBr2
Method: DFT, GGA-PBEsol
State: relaxed

Unit cell a=3.1801 b=3.1801 c=6.4223 alpha=90.00 beta=90.00 gamma=90.00
With the nearest neighbours (Å) after each atom.
Space group P4/mmm (No. 123)
Unique sites:
Mn1 0.0000 0.0000 0.0000  8 Br 2.74
Re1 0.0000 0.0000 0.5000  8 Br 2.78
Br1 0.5000 0.5000 0.2442  4 Mn 2.74, 4 Re 2.78

crystal system	tetragonal
mass density	10.25	g/cm³
density of states at the Fermi level	3.39	states/eV/cell
raw formation energy	1.148	eV/atom
relative energy among the computed polymorphs	156.9	meV per atom

Entry 4:
Material: Er6Ni20As13
Method: DFT, GGA-PBEsol
State: relaxed

Unit cell a=12.9110 b=12.9110 c=3.8020 alpha=90.00 beta=90.00 gamma=120.00
With the nearest neighbours (Å) after each atom.
Space group P-6 (No. 174)
Unique sites:
Er1 0.0504 0.1947 0.0000  6 As 2.92-2.96, 10 Ni 2.95-3.18
Er2 0.5240 0.3870 0.5000  6 As 2.89-2.96, 9 Ni 2.96-3.19
Ni1 0.0000 0.0000 0.5000  3 As 2.26
Ni2 0.0103 0.4187 0.0000  4 As 2.30-2.37, 1 Ni 2.51
Ni3 0.0867 0.7360 0.5000  4 As 2.36-2.37, 3 Ni 2.62-2.64
Ni4 0.1844 0.5985 0.5000  5 As 2.40-2.64, 1 Ni 2.64
Ni5 0.2242 0.4665 0.0000  4 As 2.24-2.37, 1 Ni 2.51
Ni6 0.3131 0.2316 0.0000  4 As 2.33-2.35
Ni7 0.3539 0.1036 0.5000  4 As 2.31-2.35
Ni8 0.6667 0.3333 0.0000  3 As 2.25
As1 0.0510 0.6137 0.0000  5 Ni 2.30-2.36
As2 0.0998 0.3851 0.5000  7 Ni 2.31-2.40
As3 0.1948 0.1433 0.5000  5 Ni 2.26-2.36
As4 0.3333 0.6667 0.0000  3 Ni 2.24
As5 0.4718 0.1932 0.0000  5 Ni 2.25-2.35

crystal system	hexagonal
mass density	9.53	g/cm³
density of states at the Fermi level	27.58	states/eV/cell
formation enthalpy at 0 K	-740	meV per atom

Entry 5:
Material: Al11InO17
Method: DFT, GGA-PBEsol
State: relaxed

Unit cell a=5.6136 b=5.6136 c=22.8725 alpha=90.00 beta=90.00 gamma=120.00
With the nearest neighbours (Å) after each atom.
Space group P6_3/mmc (No. 194)
Unique sites:
Al1 0.0000 0.0000 0.0000  6 O 1.89
Al2 0.1671 0.3343 0.1054  4 O 1.81-1.99
Al3 0.3333 0.6667 0.5249  4 O 1.80-1.82
Al4 0.3333 0.6667 0.6752  4 O 1.71-1.79
In1 0.3333 0.6667 0.2500  9 O 2.91-3.24
O1 0.0000 0.0000 0.1401  3 Al 1.81
O2 0.0036 0.5018 0.1438  3 Al 1.79-1.83
O3 0.1567 0.3135 0.5492  2 Al 1.80-1.89
O4 0.3333 0.6667 0.0548  4 Al 1.82-1.99
O5 0.3333 0.6667 0.7500  2 Al 1.71

crystal system	hexagonal
mass density	3.64	g/cm³
density of states at the Fermi level	0.00	states/eV/cell
raw formation energy	-2.920	eV/atom

Entry 6:
Material: TlZnI3
Method: DFT, GGA-PBEsol
State: relaxed

Unit cell a=5.8971 b=5.8971 c=5.8971 alpha=90.00 beta=90.00 gamma=90.00
With the nearest neighbours (Å) after each atom.
Space group Pm-3m (No. 221)
Unique sites:
Tl1 0.0000 0.0000 0.0000  6 I 2.95
Zn1 0.5000 0.5000 0.5000  12 I 4.17
I1 0.0000 0.0000 0.5000  2 Tl 2.95

crystal system	cubic
mass density	5.27	g/cm³
density of states at the Fermi level	3.30	states/eV/cell
raw formation energy	0.157	eV/atom